Material: La2CdSb
Method: DFT, PBE
State: optimized geometry

- Volume: 282 Å³/cell
- D(E_F): 6.1 states/eV/f.u.
- Magnetic moment: 0.0008 μB/atom
- E above lowest polymorph: 78 meV per atom

```
data_La2CdSb
_space_group_name_H-M_alt 'C 1 2/m 1'
_space_group_IT_number 12
_cell_length_a 7.790
_cell_length_b 4.507
_cell_length_c 8.451
_cell_angle_alpha 90.00
_cell_angle_beta 107.97
_cell_angle_gamma 90.00
loop_
_space_group_symop_operation_xyz
'x,y,z'
'-x,-y,-z'
'-x,y,-z'
'x,-y,z'
'x+1/2,y+1/2,z'
'-x+1/2,-y+1/2,-z'
'-x+1/2,y+1/2,-z'
'x+1/2,-y+1/2,z'
loop_
_atom_site_label
_atom_site_type_symbol
_atom_site_fract_x
_atom_site_fract_y
_atom_site_fract_z
La1 La 0.243 0.000 0.231
Cd1 Cd 0.000 0.000 0.500
Sb1 Sb 0.000 0.500 0.000
```

---

Material: La2CdSb
Method: DFT, PBE
State: optimized geometry

- Volume: 473 Å³/cell
- D(E_F): 5.6 states/eV/f.u.
- Magnetic moment: 0.0004 μB/atom
- E above lowest polymorph: 540 meV per atom

```
data_La2CdSb
_space_group_name_H-M_alt 'F -4 3 m'
_space_group_IT_number 216
_space_group_name_Hall 'F -4 2 3'
_cell_length_a 7.793
_cell_length_b 7.793
_cell_length_c 7.793
_cell_angle_alpha 90.00
_cell_angle_beta 90.00
_cell_angle_gamma 90.00
loop_
_atom_site_label
_atom_site_type_symbol
_atom_site_fract_x
_atom_site_fract_y
_atom_site_fract_z
La1 La 0.000 0.000 0.000
La2 La 0.250 0.250 0.250
Cd1 Cd 0.000 0.000 0.500
Sb1 Sb 0.250 0.250 0.750
```